(1)
A plane-wave DFT calculation with PBE was carried out for an optimized crystal structure of Ta3RhBr.

Cell and atoms, written as POSCAR:
```
Ta3RhBr
1.0
4.883 0.000 0.000
0.000 4.883 0.000
0.000 0.000 4.883
Rh Br Ta
1 1 3
Cartesian
0.000 0.000 0.000
2.441 2.441 2.441
0.000 2.441 0.000
0.000 0.000 2.441
2.441 0.000 0.000
```

Summary:
excess energy over the best structure of this formula in the dataset = 0.000 eV/f.u.
energy relative to the elements, uncorrected = 1.273 eV per atom
VASP energy = -38.22 eV/cell
density of states at the Fermi level = 7.02 states/eV per cell

(2)
A plane-wave DFT calculation with PBE was carried out for an optimized crystal structure of TaRhBr2.

Cell and atoms, written as POSCAR:
```
TaRhBr2
1.0
6.166 0.000 0.000
0.000 6.166 0.000
3.083 3.083 4.940
Rh Br Ta
2 4 2
Cartesian
3.083 3.083 0.000
3.083 6.166 2.470
4.594 1.542 1.235
1.572 4.625 1.235
4.625 4.655 3.705
7.708 7.677 3.705
0.000 0.000 0.000
6.166 3.083 2.470
```

Summary:
excess energy over the best structure of this formula in the dataset = 4.940 eV/f.u.
energy relative to the elements, uncorrected = 0.824 eV per atom
VASP energy = -38.51 eV/cell
density of states at the Fermi level = 2.53 states/eV per cell

- Which value of excess energy over the best structure of this formula in the dataset does entry 2 give?
  4.940 eV/f.u.

- The lowest excess energy over the best structure of this formula in the dataset belongs to which entry?
  Ta3RhBr